Entry from Alexandria via LeMat-Bulk: an optimized crystal structure of VGeNO2 (PBE+U).

Summary:
- ρ: 5.0 g/cm3
- Spin magnetization: 0.03 μB per formula unit
- E: -33.22 eV per cell

CIF file:
```
data_VGeNO2
_chemical_formula_sum 'V1 Ge1 N1 O2'
_cell_length_a 3.7580
_cell_length_b 3.7580
_cell_length_c 3.9592
_cell_angle_alpha 90.00
_cell_angle_beta 90.00
_cell_angle_gamma 90.00
_space_group_name_H-M_alt 'P 4/m m m'
_space_group_IT_number 123
_space_group_name_Hall '-P 4 2'
loop_
_atom_site_label
_atom_site_type_symbol
_atom_site_fract_x
_atom_site_fract_y
_atom_site_fract_z
_atom_site_occupancy
V1 V 0.0000 0.0000 0.0000 1
Ge1 Ge 0.5000 0.5000 0.5000 1
N1 N 0.0000 0.0000 0.5000 1
O1 O 0.0000 0.5000 0.0000 1
```